A plane-wave DFT calculation with PBE-GGA was carried out for a relaxed InFe3 crystal.

Cell: 2.8930 2.8930 8.1188 Å, 90.00 90.00 120.00°
With the nearest neighbours (Å) after each atom.
Positions (direct):
Fe 0.0000 0.0000 0.0300  3 Fe 2.45
Fe 0.0000 0.0000 0.4700  3 Fe 2.45
Fe 0.6667 0.3333 0.2500  6 Fe 2.45
In 0.6667 0.3333 0.7500  6 Fe 2.82, 6 In 2.89

Output
- calculated volume (Å³ per atom) = 14.7
- crystal system = hexagonal
- space group = P-6m2, No. 187
- DOS at the Fermi energy (states/eV per cell) = 3.7

A plane-wave DFT calculation with PBE-GGA was carried out for a relaxed InFe crystal.

Cell: 5.5099 5.5099 5.5099 Å, 43.63 43.63 43.63°
With the nearest neighbours (Å) after each atom.
Positions (direct):
Fe 0.3255 0.3255 0.3255  3 Fe 2.38
Fe 0.6745 0.6745 0.6745  3 Fe 2.38
In 0.1040 0.1040 0.1040  6 Fe 2.77-2.89, 3 In 3.02
In 0.8960 0.8960 0.8960  6 Fe 2.77-2.89, 3 In 3.02

Output
- calculated volume (Å³ per atom) = 18.1
- crystal system = trigonal
- space group = R-3m, No. 166
- DOS at the Fermi energy (states/eV per cell) = 2.8

A plane-wave DFT calculation with PBE-GGA was carried out for a relaxed InFe crystal.

Cell: 8.0284 13.8263 5.1371 Å, 90.00 90.00 90.00°
With the nearest neighbours (Å) after each atom.
Positions (direct):
In 0.3283 0.0000 0.0000  4 Fe 2.72-2.87, 3 In 2.76-2.86
In 0.6717 0.0000 0.0000  4 Fe 2.72-2.87, 3 In 2.76-2.86
In 0.9217 0.7500 0.2500  4 Fe 2.72-2.87, 3 In 2.76-2.86
In 0.5783 0.7500 0.2500  4 Fe 2.72-2.87, 3 In 2.76-2.86
In 0.3283 0.5000 0.5000  4 Fe 2.72-2.87, 3 In 2.76-2.86
In 0.6717 0.5000 0.5000  4 Fe 2.72-2.87, 3 In 2.76-2.86
In 0.9217 0.2500 0.7500  4 Fe 2.72-2.87, 3 In 2.76-2.86
In 0.5783 0.2500 0.7500  4 Fe 2.72-2.87, 3 In 2.76-2.86
In 0.8283 0.0000 0.5000  4 Fe 2.72-2.87, 3 In 2.76-2.86
In 0.1717 0.0000 0.5000  4 Fe 2.72-2.87, 3 In 2.76-2.86
In 0.4217 0.7500 0.7500  4 Fe 2.72-2.87, 3 In 2.76-2.86
In 0.0783 0.7500 0.7500  4 Fe 2.72-2.87, 3 In 2.76-2.86
In 0.8283 0.5000 0.0000  4 Fe 2.72-2.87, 3 In 2.76-2.86
In 0.1717 0.5000 0.0000  4 Fe 2.72-2.87, 3 In 2.76-2.86
In 0.4217 0.2500 0.2500  4 Fe 2.72-2.87, 3 In 2.76-2.86
In 0.0783 0.2500 0.2500  4 Fe 2.72-2.87, 3 In 2.76-2.86
Fe 0.0000 0.9174 0.0000  1 Fe 2.28
Fe 0.0000 0.0826 0.0000  1 Fe 2.28
Fe 0.2500 0.8326 0.2500  1 Fe 2.28
Fe 0.2500 0.6674 0.2500  1 Fe 2.28
Fe 0.0000 0.4174 0.5000  1 Fe 2.28
Fe 0.0000 0.5826 0.5000  1 Fe 2.28
Fe 0.2500 0.3326 0.7500  1 Fe 2.28
Fe 0.2500 0.1674 0.7500  1 Fe 2.28
Fe 0.5000 0.9174 0.5000  1 Fe 2.28
Fe 0.5000 0.0826 0.5000  1 Fe 2.28
Fe 0.7500 0.8326 0.7500  1 Fe 2.28
Fe 0.7500 0.6674 0.7500  1 Fe 2.28
Fe 0.5000 0.4174 0.0000  1 Fe 2.28
Fe 0.5000 0.5826 0.0000  1 Fe 2.28
Fe 0.7500 0.3326 0.2500  1 Fe 2.28
Fe 0.7500 0.1674 0.2500  1 Fe 2.28

Output
- calculated volume (Å³ per atom) = 17.8
- crystal system = orthorhombic
- space group = Fddd, No. 70
- DOS at the Fermi energy (states/eV per cell) = 32.6

A plane-wave DFT calculation with PBE-GGA was carried out for a relaxed InFe crystal.

Cell: 4.2730 4.2730 4.2730 Å, 60.00 60.00 60.00°
With the nearest neighbours (Å) after each atom.
Positions (direct):
Fe 0.0000 0.0000 0.0000  4 In 2.62
In 0.7500 0.7500 0.7500  4 Fe 2.62

Output
- calculated volume (Å³ per atom) = 27.6
- crystal system = cubic
- space group = F-43m, No. 216
- DOS at the Fermi energy (states/eV per cell) = 1.9

A plane-wave DFT calculation with PBE-GGA was carried out for a relaxed InFe crystal.

Cell: 7.8366 7.8366 4.5222 Å, 90.00 90.00 90.00°
With the nearest neighbours (Å) after each atom.
Positions (direct):
In 0.7796 0.5000 0.0000  6 Fe 2.74-2.75
In 0.2204 0.5000 0.0000  6 Fe 2.74-2.75
In 0.5000 0.2204 0.0000  6 Fe 2.74-2.75
In 0.5000 0.7796 0.0000  6 Fe 2.74-2.75
In 0.2796 0.0000 0.5000  6 Fe 2.74-2.75
In 0.7204 0.0000 0.5000  6 Fe 2.74-2.75
In 0.0000 0.7204 0.5000  6 Fe 2.74-2.75
In 0.0000 0.2796 0.5000  6 Fe 2.74-2.75
Fe 0.1565 0.1565 0.0000  2 Fe 2.45, 2 In 2.74
Fe 0.1565 0.8435 0.0000  2 Fe 2.45, 2 In 2.74
Fe 0.8435 0.1565 0.0000  2 Fe 2.45, 2 In 2.74
Fe 0.8435 0.8435 0.0000  2 Fe 2.45, 2 In 2.74
Fe 0.6565 0.6565 0.5000  2 Fe 2.45, 2 In 2.74
Fe 0.6565 0.3435 0.5000  2 Fe 2.45, 2 In 2.74
Fe 0.3435 0.6565 0.5000  2 Fe 2.45, 2 In 2.74
Fe 0.3435 0.3435 0.5000  2 Fe 2.45, 2 In 2.74

Output
- calculated volume (Å³ per atom) = 17.4
- crystal system = tetragonal
- space group = I4/mmm, No. 139
- DOS at the Fermi energy (states/eV per cell) = 9.7

A plane-wave DFT calculation with PBE-GGA was carried out for a relaxed InFe6 crystal.

Cell: 5.1698 5.1698 5.1698 Å, 109.47 109.47 109.47°
With the nearest neighbours (Å) after each atom.
Positions (direct):
In 0.0000 0.0000 0.0000  24 Fe 3.34
Fe 0.2500 0.7500 0.5000  4 Fe 2.11
Fe 0.5000 0.7500 0.2500  4 Fe 2.11
Fe 0.2500 0.5000 0.7500  4 Fe 2.11
Fe 0.7500 0.2500 0.5000  4 Fe 2.11
Fe 0.5000 0.2500 0.7500  4 Fe 2.11
Fe 0.7500 0.5000 0.2500  4 Fe 2.11

Output
- calculated volume (Å³ per atom) = 15.2
- crystal system = cubic
- space group = Im-3m, No. 229
- DOS at the Fermi energy (states/eV per cell) = 7.1

A plane-wave DFT calculation with PBE-GGA was carried out for a relaxed In7Fe crystal.

Cell: 6.5069 6.5069 6.5069 Å, 60.00 60.00 60.00°
With the nearest neighbours (Å) after each atom.
Positions (direct):
In 0.5000 0.5000 0.0000  10 In 3.25, 2 Fe 3.25
In 0.5000 0.0000 0.5000  10 In 3.25, 2 Fe 3.25
In 0.5000 0.0000 0.0000  10 In 3.25, 2 Fe 3.25
In 0.0000 0.0000 0.5000  10 In 3.25, 2 Fe 3.25
In 0.0000 0.5000 0.0000  10 In 3.25, 2 Fe 3.25
In 0.0000 0.5000 0.5000  10 In 3.25, 2 Fe 3.25
In 0.5000 0.5000 0.5000  12 In 3.25
Fe 0.0000 0.0000 0.0000  12 In 3.25

Output
- calculated volume (Å³ per atom) = 24.4
- crystal system = cubic
- space group = Fm-3m, No. 225
- DOS at the Fermi energy (states/eV per cell) = 6.7

A plane-wave DFT calculation with PBE-GGA was carried out for a relaxed InFe crystal.

Cell: 4.5661 4.5661 4.5661 Å, 60.00 60.00 60.00°
With the nearest neighbours (Å) after each atom.
Positions (direct):
Fe 0.0000 0.0000 0.0000  4 In 2.80, 4 Fe 2.80
Fe 0.2500 0.2500 0.2500  4 Fe 2.80, 4 In 2.80
In 0.5000 0.5000 0.5000  4 Fe 2.80, 4 In 2.80
In 0.7500 0.7500 0.7500  4 In 2.80, 4 Fe 2.80

Output
- calculated volume (Å³ per atom) = 16.8
- crystal system = cubic
- space group = Fd-3m, No. 227
- DOS at the Fermi energy (states/eV per cell) = 3.2

A plane-wave DFT calculation with PBE-GGA was carried out for a relaxed InFe crystal.

Cell: 9.7940 9.7940 3.1843 Å, 90.00 90.00 90.00°
With the nearest neighbours (Å) after each atom.
Positions (direct):
In 0.1861 0.8796 0.0000  4 Fe 2.70-2.87
In 0.8139 0.1204 0.0000  4 Fe 2.70-2.87
In 0.1204 0.1861 0.0000  4 Fe 2.70-2.87
In 0.8796 0.8139 0.0000  4 Fe 2.70-2.87
In 0.6861 0.3796 0.5000  4 Fe 2.70-2.87
In 0.3139 0.6204 0.5000  4 Fe 2.70-2.87
In 0.6204 0.6861 0.5000  4 Fe 2.70-2.87
In 0.3796 0.3139 0.5000  4 Fe 2.70-2.87
Fe 0.3851 0.0704 0.0000  5 Fe 2.45-2.64, 1 In 2.70
Fe 0.6149 0.9296 0.0000  5 Fe 2.45-2.64, 1 In 2.70
Fe 0.9296 0.3851 0.0000  5 Fe 2.45-2.64, 1 In 2.70
Fe 0.0704 0.6149 0.0000  5 Fe 2.45-2.64, 1 In 2.70
Fe 0.8851 0.5704 0.5000  5 Fe 2.45-2.64, 1 In 2.70
Fe 0.1149 0.4296 0.5000  5 Fe 2.45-2.64, 1 In 2.70
Fe 0.4296 0.8851 0.5000  5 Fe 2.45-2.64, 1 In 2.70
Fe 0.5704 0.1149 0.5000  5 Fe 2.45-2.64, 1 In 2.70

Output
- calculated volume (Å³ per atom) = 19.1
- crystal system = tetragonal
- space group = I4/m, No. 87
- DOS at the Fermi energy (states/eV per cell) = 12.5

A plane-wave DFT calculation with PBE-GGA was carried out for a relaxed InFe5 crystal.

Cell: 2.9836 2.9836 8.8841 Å, 90.00 90.00 90.00°
With the nearest neighbours (Å) after each atom.
Positions (direct):
In 0.5000 0.5000 0.0000  10 Fe 2.77-3.06, 4 In 2.98
Fe 0.0000 0.0000 0.7979  5 Fe 2.46-2.65
Fe 0.0000 0.0000 0.2021  5 Fe 2.46-2.65
Fe 0.5000 0.5000 0.6559  8 Fe 2.46-2.52
Fe 0.5000 0.5000 0.3441  8 Fe 2.46-2.52
Fe 0.0000 0.0000 0.5000  10 Fe 2.52-2.65

Output
- calculated volume (Å³ per atom) = 13.2
- crystal system = tetragonal
- space group = P4/mmm, No. 123
- DOS at the Fermi energy (states/eV per cell) = 6.0

A plane-wave DFT calculation with PBE-GGA was carried out for a relaxed In4Fe crystal.

Cell: 5.0484 5.0484 5.0484 Å, 90.00 90.00 90.00°
With the nearest neighbours (Å) after each atom.
Positions (direct):
Fe 0.5000 0.5000 0.5000  6 In 2.52
In 0.0000 0.0000 0.0000  12 In 3.57
In 0.5000 0.0000 0.5000  2 Fe 2.52
In 0.0000 0.5000 0.5000  2 Fe 2.52
In 0.5000 0.5000 0.0000  2 Fe 2.52

Output
- calculated volume (Å³ per atom) = 25.7
- crystal system = cubic
- space group = Pm-3m, No. 221
- DOS at the Fermi energy (states/eV per cell) = 3.1

A plane-wave DFT calculation with PBE-GGA was carried out for a relaxed InFe crystal.

Cell: 7.8942 7.8942 7.8942 Å, 90.00 90.00 90.00°
With the nearest neighbours (Å) after each atom.
Positions (direct):
In 0.2910 0.2910 0.2910  4 Fe 2.56-2.73
In 0.2910 0.7090 0.7090  4 Fe 2.56-2.73
In 0.7090 0.2910 0.7090  4 Fe 2.56-2.73
In 0.7090 0.7090 0.2910  4 Fe 2.56-2.73
In 0.7910 0.7910 0.7910  4 Fe 2.56-2.73
In 0.7910 0.2090 0.2090  4 Fe 2.56-2.73
In 0.2090 0.7910 0.2090  4 Fe 2.56-2.73
In 0.2090 0.2090 0.7910  4 Fe 2.56-2.73
Fe 0.1037 0.1037 0.1037  3 Fe 2.32, 1 In 2.56
Fe 0.1037 0.8963 0.8963  3 Fe 2.32, 1 In 2.56
Fe 0.8963 0.1037 0.8963  3 Fe 2.32, 1 In 2.56
Fe 0.8963 0.8963 0.1037  3 Fe 2.32, 1 In 2.56
Fe 0.6037 0.6037 0.6037  3 Fe 2.32, 1 In 2.56
Fe 0.6037 0.3963 0.3963  3 Fe 2.32, 1 In 2.56
Fe 0.3963 0.6037 0.3963  3 Fe 2.32, 1 In 2.56
Fe 0.3963 0.3963 0.6037  3 Fe 2.32, 1 In 2.56

Output
- calculated volume (Å³ per atom) = 30.7
- crystal system = cubic
- space group = I-43m, No. 217
- DOS at the Fermi energy (states/eV per cell) = 17.8

| no. | DFT formation energy (eV/atom) | VASP energy (eV per atom) | magnetization (μB/cell) |
| --- | --- | --- | --- |
| 1 | 0.3856 | -6.6460 | 7.4 |
| 2 | 0.2895 | -5.3110 | 4.1 |
| 3 | 0.4397 | -5.1608 | 34.1 |
| 4 | 1.2338 | -4.3667 | 2.6 |
| 5 | 0.2216 | -5.3789 | 17.1 |
| 6 | 0.9807 | -6.6642 | 0.0 |
| 7 | 0.2410 | -3.2130 | 3.1 |
| 8 | 0.4482 | -5.1523 | 4.8 |
| 9 | 0.2420 | -5.3586 | 19.8 |
| 10 | 0.1152 | -7.3935 | 12.1 |
| 11 | 0.1829 | -3.7004 | 0.8 |
| 12 | 0.6947 | -4.9059 | 16.8 |